No. 1
VASP calculation (PBE) on an optimized crystal structure of Li2CaAgHg4.

Results
**Electronic total energy**: -12.3 eV per cell
**N(E_F)**: 0.36 states/eV/atom
**Space group**: R-3m (166)
**Formation energy from the elements**: -0.301 eV per atom
**Total moment**: 0.000 μB per atom

Cell: 9.131 9.131 9.131 Å, 30.71 30.71 30.71°
Atoms (fractional coordinates):
Li (0.235, 0.235, 0.235)
Li (0.765, 0.765, 0.765)
Ca (0.000, 0.000, 0.000)
Ag (0.500, 0.500, 0.500)
Hg (0.125, 0.125, 0.125)
Hg (0.389, 0.389, 0.389)
Hg (0.611, 0.611, 0.611)
Hg (0.875, 0.875, 0.875)

***

No. 2
VASP calculation (PBE) on an optimized crystal structure of Li2CaAgHg2.

Results
**Electronic total energy**: -11.4 eV per cell
**N(E_F)**: 0.45 states/eV/atom
**Space group**: P-3m1 (164)
**Formation energy from the elements**: -0.355 eV per atom
**Total moment**: 0.000 μB per atom

Cell: 4.750 4.750 6.511 Å, 90.00 90.00 120.00°
Atoms (fractional coordinates):
Li (0.333, 0.667, 0.168)
Li (0.667, 0.333, 0.832)
Ca (0.000, 0.000, 0.500)
Ag (0.000, 0.000, 0.000)
Hg (0.333, 0.667, 0.752)
Hg (0.667, 0.333, 0.248)

***

No. 3
VASP calculation (PBE) on an optimized crystal structure of LiCaAg2Hg4.

Results
**Electronic total energy**: -12.9 eV per cell
**N(E_F)**: 0.30 states/eV/atom
**Space group**: R-3m (166)
**Formation energy from the elements**: -0.260 eV per atom
**Total moment**: 0.000 μB per atom

Cell: 8.600 8.600 8.600 Å, 33.50 33.50 33.50°
Atoms (fractional coordinates):
Li (0.000, 0.000, 0.000)
Ca (0.500, 0.500, 0.500)
Ag (0.247, 0.247, 0.247)
Ag (0.753, 0.753, 0.753)
Hg (0.115, 0.115, 0.115)
Hg (0.369, 0.369, 0.369)
Hg (0.631, 0.631, 0.631)
Hg (0.885, 0.885, 0.885)

***

No. 4
VASP calculation (PBE) on an optimized crystal structure of LiCaAgHg2.

Results
**Electronic total energy**: -8.3 eV per cell
**N(E_F)**: 0.46 states/eV/atom
**Space group**: P4/mmm (123)
**Formation energy from the elements**: -0.179 eV per atom
**Total moment**: 0.000 μB per atom

Cell: 4.931 4.931 4.801 Å, 90.00 90.00 90.00°
Atoms (fractional coordinates):
Li (0.000, 0.000, 0.000)
Ca (0.500, 0.500, 0.500)
Ag (0.000, 0.000, 0.500)
Hg (0.000, 0.500, 0.000)
Hg (0.500, 0.000, 0.000)